a | ## Cd4Ga (PBE)

Data for a geometry-optimized Cd4Ga structure.

Results
Fermi-level density of states, states/eV per atom: 0.475
Total magnetization, μB per atom: 0.000

a b c (Å): 5.269 5.269 5.269
angles (deg): 90.00 90.00 90.00
Element x y z (fractional)
Cd 0.000 0.000 0.000
Cd 0.000 0.500 0.500
Cd 0.500 0.000 0.500
Cd 0.500 0.500 0.000
Ga 0.500 0.500 0.500

b | ## Cd4Ga (PBE)

Data for a geometry-optimized Cd4Ga structure.

Results
Fermi-level density of states, states/eV per atom: 0.317
Total magnetization, μB per atom: 0.000

a b c (Å): 7.231 6.600 5.008
angles (deg): 90.00 100.23 90.00
Element x y z (fractional)
Cd 0.151 0.158 0.008
Cd 0.151 0.842 0.508
Cd 0.255 0.389 0.523
Cd 0.255 0.611 0.023
Cd 0.745 0.389 0.977
Cd 0.745 0.611 0.477
Cd 0.849 0.158 0.492
Cd 0.849 0.842 0.992
Ga 0.500 0.073 0.750
Ga 0.500 0.927 0.250

Most stable to least stable, the ends of the list are b and a.

a | ## GdCd2Ga (PBE)

Data for a geometry-optimized GdCd2Ga structure.

Results
Fermi-level density of states, states/eV per atom: 0.691
Total magnetization, μB per atom: 1.873

a b c (Å): 11.216 11.216 11.216
angles (deg): 16.62 16.62 16.62
Element x y z (fractional)
Gd 0.000 0.000 0.000
Cd 0.095 0.095 0.095
Cd 0.905 0.905 0.905
Ga 0.500 0.500 0.500

b | ## GdCd2Ga (PBE)

Data for a geometry-optimized GdCd2Ga structure.

Results
Fermi-level density of states, states/eV per atom: 0.493
Total magnetization, μB per atom: 1.721

a b c (Å): 5.067 5.067 5.067
angles (deg): 60.00 60.00 60.00
Element x y z (fractional)
Gd 0.000 0.000 0.000
Cd 0.250 0.250 0.250
Cd 0.750 0.750 0.750
Ga 0.500 0.500 0.500

c | ## GdCd2Ga (PBE)

Data for a geometry-optimized GdCd2Ga structure.

Results
Fermi-level density of states, states/eV per atom: 0.658
Total magnetization, μB per atom: 1.837

a b c (Å): 4.374 4.374 4.838
angles (deg): 90.00 90.00 90.00
Element x y z (fractional)
Gd 0.000 0.000 0.000
Cd 0.000 0.500 0.500
Cd 0.500 0.000 0.500
Ga 0.500 0.500 0.000

Most stable to least stable, the ends of the list are c and a.

a | ## Cd2Ga2Ge (PBE)

Data for a geometry-optimized Cd2Ga2Ge structure.

Results
Fermi-level density of states, states/eV per atom: 0.507
Total magnetization, μB per atom: 0.000

a b c (Å): 8.087 8.087 8.087
angles (deg): 152.93 152.93 38.65
Element x y z (fractional)
Cd 0.097 0.097 0.000
Cd 0.903 0.903 0.000
Ga 0.250 0.750 0.500
Ga 0.750 0.250 0.500
Ge 0.500 0.500 0.000

b | ## Cd2Ga2Ge (PBE)

Data for a geometry-optimized Cd2Ga2Ge structure.

Results
Fermi-level density of states, states/eV per atom: 0.425
Total magnetization, μB per atom: 0.000

a b c (Å): 6.808 6.808 6.808
angles (deg): 143.73 143.73 52.24
Element x y z (fractional)
Cd 0.250 0.750 0.500
Cd 0.750 0.250 0.500
Ga 0.099 0.099 0.000
Ga 0.901 0.901 0.000
Ge 0.500 0.500 0.000

Most stable to least stable, the ends of the list are a and b.

a | ## CdGaGe2 (PBE)

Data for a geometry-optimized CdGaGe2 structure.

Results
Fermi-level density of states, states/eV per atom: 0.299
Total magnetization, μB per atom: 0.000

a b c (Å): 8.340 8.340 8.340
angles (deg): 26.58 26.58 26.58
Element x y z (fractional)
Cd 0.000 0.000 0.000
Ga 0.500 0.500 0.500
Ge 0.111 0.111 0.111
Ge 0.889 0.889 0.889

b | ## CdGaGe2 (PBE)

Data for a geometry-optimized CdGaGe2 structure.

Results
Fermi-level density of states, states/eV per atom: 0.522
Total magnetization, μB per atom: 0.000

a b c (Å): 4.862 4.862 4.862
angles (deg): 60.00 60.00 60.00
Element x y z (fractional)
Cd 0.000 0.000 0.000
Ga 0.500 0.500 0.500
Ge 0.250 0.250 0.250
Ge 0.750 0.750 0.750

Most stable to least stable, the ends of the list are b and a.